The following is a DFT calculation (PBE) of a geometry-optimized Zn2TcPt structure.

Output
* ΔE_f: -0.03 eV per atom
* energy: -4.764 eV per atom
* space-group type: I-4m2, No. 119
* total magnetization: 0.095 μB per atom

a = 4.7541 Å, b = 4.7541 Å, c = 4.7541 Å
α = 131.75°, β = 131.75°, γ = 70.62°
Last column: magnetic moment on the atom in μB.
Sites, in units of the cell vectors:
Pt  0.5000  0.5000  0.0000  0.05
Tc  0.7500  0.2500  0.5000  0.31
Zn  0.0000  0.0000  0.0000  0.00
Zn  0.2500  0.7500  0.5000  0.00